# K2SnOsO6, relaxed, DFT PBE
# Total moment   2.02 μB per formula unit
# DOS at the Fermi energy   3.7 states/eV/f.u.
# Formation energy (no corrections)   -130.0 kJ per mole of atoms
data_K2SnOsO6
_symmetry_space_group_name_H-M 'F m -3 m'
_symmetry_Int_Tables_number 225
_symmetry_space_group_name_Hall '-F 4 2 3'
_cell_length_a 8.0521
_cell_length_b 8.0521
_cell_length_c 8.0521
_cell_angle_alpha 90.00
_cell_angle_beta 90.00
_cell_angle_gamma 90.00
loop_
_atom_site_label
_atom_site_fract_x
_atom_site_fract_y
_atom_site_fract_z
K1 0.2500 0.2500 0.2500
Sn1 0.0000 0.0000 0.0000
Os1 0.0000 0.0000 0.5000
O1 0.0000 0.0000 0.2583